## KLa2O2 (SCAN)

Data for a PBEsol-optimized structure of KLa2O2.

Cell lengths 4.1509, 4.1509, 19.4953 Å; angles 90.00, 90.00, 90.00 degrees
Space group I4/mmm (No. 139)
Unique sites:
K 0.0000 0.0000 0.0000
La 0.0000 0.0000 0.3076
O 0.0000 0.5000 0.2500

density = 3.45 g cm⁻³
ΔE_f (raw) = -2.44 eV per atom